# NpAlCr2O6 PBE+U optimized geometry
data_NpAlCr2O6
_space_group_name_H-M_alt 'P 1'
_space_group_IT_number 1
_cell_length_a 5.195
_cell_length_b 5.264
_cell_length_c 5.621
_cell_angle_alpha 63.81
_cell_angle_beta 89.92
_cell_angle_gamma 60.48
loop_
_space_group_symop_operation_xyz
'x,y,z'
loop_
_atom_site_label
_atom_site_type_symbol
_atom_site_fract_x
_atom_site_fract_y
_atom_site_fract_z
Np1 Np 0.000 0.000 0.000
Al1 Al 0.509 0.975 0.536
Cr1 Cr 0.201 0.590 0.609
Cr2 Cr 0.709 0.561 0.151
O1 O 0.158 0.046 0.346
O2 O 0.303 0.121 0.783
O3 O 0.417 0.438 0.344
O4 O 0.572 0.516 0.816
O5 O 0.787 0.792 0.342
O6 O 0.893 0.770 0.808
# spin magnetization	10.0	Bohr magnetons per cell
# E	-8.490	eV/atom